[1]
The following is a DFT calculation (GGA-PBE) of Sc4FeW after structural relaxation.

Output
ρ	5876	kg/m³
formation energy	78.8	kJ/mol of atoms

a = 7.798 Å, b = 7.798 Å, c = 7.798 Å
α = 90.00°, β = 90.00°, γ = 90.00°
Space group F-43m (No. 216)
One atom of each set of equivalent atoms:
1 Sc 0.124 0.124 0.124 [16 per cell]
2 Fe 0.000 0.000 0.500 [4 per cell]
3 W 0.250 0.250 0.750 [4 per cell]

***

[2]
The following is a DFT calculation (GGA-PBE) of ScFe3W after structural relaxation.

Output
ρ	7358	kg/m³
offset from the most stable computed form	0.0	meV/atom
formation energy	100.9	kJ/mol of atoms

a = 4.472 Å, b = 4.472 Å, c = 4.472 Å
α = 90.00°, β = 90.00°, γ = 90.00°
Space group Pm-3m (No. 221)
One atom of each set of equivalent atoms:
1 Sc 0.000 0.000 0.000 [1 per cell]
2 Fe 0.000 0.500 0.500 [3 per cell]
3 W 0.500 0.500 0.500 [1 per cell]

***

[3]
The following is a DFT calculation (GGA-PBE) of ScFeW2 after structural relaxation.

Output
ρ	12200	kg/m³
offset from the most stable computed form	119.7	meV/atom
formation energy	22.3	kJ/mol of atoms

a = 2.755 Å, b = 4.359 Å, c = 5.383 Å
α = 90.00°, β = 99.48°, γ = 90.00°
Space group Pm (No. 6)
One atom of each set of equivalent atoms:
1 Sc 0.000 0.000 0.000 [1 per cell]
2 Fe 0.269 0.500 0.759 [1 per cell]
3 W 0.493 0.000 0.509 [1 per cell]
4 W 0.718 0.500 0.275 [1 per cell]

***

[4]
The following is a DFT calculation (GGA-PBE) of ScFeW2 after structural relaxation.

Output
ρ	11975	kg/m³
offset from the most stable computed form	282.4	meV/atom
formation energy	38.0	kJ/mol of atoms

a = 5.279 Å, b = 9.145 Å, c = 2.691 Å
α = 90.00°, β = 90.00°, γ = 90.00°
Space group Cmmm (No. 65)
One atom of each set of equivalent atoms:
1 Sc 0.000 0.000 0.000 [2 per cell]
2 Fe 0.000 0.500 0.000 [2 per cell]
3 W 0.250 0.250 0.500 [4 per cell]

***

[5]
The following is a DFT calculation (GGA-PBE) of ScFeW after structural relaxation.

Output
ρ	9981	kg/m³
offset from the most stable computed form	156.1	meV/atom
formation energy	7.7	kJ/mol of atoms

a = 3.037 Å, b = 3.037 Å, c = 10.266 Å
α = 90.00°, β = 90.00°, γ = 90.00°
Space group I4mm (No. 107)
One atom of each set of equivalent atoms:
1 Sc 0.000 0.000 0.000 [2 per cell]
2 Fe 0.000 0.000 0.324 [2 per cell]
3 W 0.000 0.000 0.694 [2 per cell]

***

[6]
The following is a DFT calculation (GGA-PBE) of ScFeW2 after structural relaxation.

Output
ρ	12530	kg/m³
offset from the most stable computed form	375.1	meV/atom
formation energy	47.0	kJ/mol of atoms

a = 4.466 Å, b = 4.466 Å, c = 3.113 Å
α = 90.00°, β = 90.00°, γ = 90.00°
Space group P4/mmm (No. 123)
One atom of each set of equivalent atoms:
1 Sc 0.000 0.000 0.000 [1 per cell]
2 Fe 0.500 0.500 0.000 [1 per cell]
3 W 0.000 0.500 0.500 [2 per cell]

***

[7]
The following is a DFT calculation (GGA-PBE) of ScFeW after structural relaxation.

Output
ρ	9118	kg/m³
offset from the most stable computed form	455.6	meV/atom
formation energy	36.6	kJ/mol of atoms

a = 5.919 Å, b = 5.919 Å, c = 5.919 Å
α = 90.00°, β = 90.00°, γ = 90.00°
Space group F-43m (No. 216)
One atom of each set of equivalent atoms:
1 Sc 0.000 0.000 0.000 [4 per cell]
2 Fe 0.250 0.250 0.250 [4 per cell]
3 W 0.000 0.000 0.500 [4 per cell]

***

[8]
The following is a DFT calculation (GGA-PBE) of ScFeW2 after structural relaxation.

Output
ρ	11366	kg/m³
offset from the most stable computed form	499.0	meV/atom
formation energy	58.9	kJ/mol of atoms

a = 7.301 Å, b = 7.301 Å, c = 5.136 Å
α = 90.00°, β = 90.00°, γ = 90.00°
Space group I-42d (No. 122)
One atom of each set of equivalent atoms:
1 Sc 0.000 0.000 0.000 [4 per cell]
2 Fe 0.000 0.000 0.500 [4 per cell]
3 W 0.194 0.750 0.625 [8 per cell]

***

[9]
The following is a DFT calculation (GGA-PBE) of ScFeW after structural relaxation.

Output
ρ	10097	kg/m³
offset from the most stable computed form	339.3	meV/atom
formation energy	25.3	kJ/mol of atoms

a = 4.3170 Å, b = 4.3170 Å, c = 2.9004 Å
α = 90.00°, β = 90.00°, γ = 120.00°
Space group P3m1 (No. 156)
One atom of each set of equivalent atoms:
1 Sc 0.0000 0.0000 0.0000 [1 per cell]
2 Fe 0.3333 0.6667 0.6316 [1 per cell]
3 W 0.6667 0.3333 0.4168 [1 per cell]

***

[10]
The following is a DFT calculation (GGA-PBE) of ScFeW after structural relaxation.

Output
ρ	9692	kg/m³
offset from the most stable computed form	431.8	meV/atom
formation energy	34.3	kJ/mol of atoms

a = 2.9560 Å, b = 2.9560 Å, c = 6.4442 Å
α = 90.00°, β = 90.00°, γ = 120.00°
Space group P3m1 (No. 156)
One atom of each set of equivalent atoms:
1 Sc 0.0000 0.0000 0.0000 [1 per cell]
2 Fe 0.3333 0.6667 0.6612 [1 per cell]
3 W 0.6667 0.3333 0.3783 [1 per cell]

***

[11]
The following is a DFT calculation (GGA-PBE) of ScFeW2 after structural relaxation.

Output
ρ	11969	kg/m³
offset from the most stable computed form	202.1	meV/atom
formation energy	30.3	kJ/mol of atoms

a = 3.749 Å, b = 3.749 Å, c = 4.624 Å
α = 90.00°, β = 90.00°, γ = 90.00°
Space group P4/mmm (No. 123)
One atom of each set of equivalent atoms:
1 Sc 0.000 0.000 0.000 [1 per cell]
2 Fe 0.500 0.500 0.000 [1 per cell]
3 W 0.000 0.500 0.500 [2 per cell]

***

[12]
The following is a DFT calculation (GGA-PBE) of ScFeW2 after structural relaxation.

Output
ρ	12254	kg/m³
offset from the most stable computed form	128.8	meV/atom
formation energy	23.2	kJ/mol of atoms

a = 2.754 Å, b = 4.604 Å, c = 5.093 Å
α = 90.00°, β = 100.52°, γ = 90.00°
Space group P2/m (No. 10)
One atom of each set of equivalent atoms:
1 Sc 0.000 0.000 0.000 [1 per cell]
2 Fe 0.500 0.000 0.500 [1 per cell]
3 W 0.277 0.500 0.747 [2 per cell]

***

[13]
The following is a DFT calculation (GGA-PBE) of ScFeW2 after structural relaxation.

Output
ρ	11942	kg/m³
offset from the most stable computed form	298.3	meV/atom
formation energy	39.6	kJ/mol of atoms

a = 2.696 Å, b = 4.588 Å, c = 5.266 Å
α = 90.00°, β = 90.00°, γ = 90.00°
Space group Pmmm (No. 47)
One atom of each set of equivalent atoms:
1 Sc 0.000 0.000 0.000 [1 per cell]
2 Fe 0.000 0.000 0.500 [1 per cell]
3 W 0.500 0.500 0.252 [2 per cell]

***

[14]
The following is a DFT calculation (GGA-PBE) of ScFeW after structural relaxation.

Output
ρ	9736	kg/m³
offset from the most stable computed form	0.0	meV/atom
formation energy	-7.4	kJ/mol of atoms

a = 5.217 Å, b = 5.236 Å, c = 7.109 Å
α = 90.00°, β = 90.00°, γ = 90.00°
Space group Imma (No. 74)
One atom of each set of equivalent atoms:
1 Sc 0.000 0.250 0.130 [4 per cell]
2 Fe 0.000 0.000 0.500 [4 per cell]
3 W 0.250 0.250 0.750 [4 per cell]

***

[15]
The following is a DFT calculation (GGA-PBE) of ScFeW2 after structural relaxation.

Output
ρ	12209	kg/m³
offset from the most stable computed form	97.8	meV/atom
formation energy	20.2	kJ/mol of atoms

a = 2.857 Å, b = 2.857 Å, c = 7.806 Å
α = 90.00°, β = 90.00°, γ = 90.00°
Space group P4mm (No. 99)
One atom of each set of equivalent atoms:
1 Sc 0.000 0.000 0.000 [1 per cell]
2 Fe 0.500 0.500 0.755 [1 per cell]
3 W 0.000 0.000 0.569 [1 per cell]
4 W 0.500 0.500 0.296 [1 per cell]

***

[16]
The following is a DFT calculation (GGA-PBE) of ScFe4W after structural relaxation.

Output
ρ	9450	kg/m³
formation energy	-6.2	kJ/mol of atoms

a = 6.824 Å, b = 6.824 Å, c = 6.824 Å
α = 90.00°, β = 90.00°, γ = 90.00°
Space group F-43m (No. 216)
One atom of each set of equivalent atoms:
1 Sc 0.000 0.000 0.000 [4 per cell]
2 Fe 0.124 0.124 0.624 [16 per cell]
3 W 0.250 0.250 0.250 [4 per cell]

***

[17]
The following is a DFT calculation (GGA-PBE) of ScZn2FeW after structural relaxation.

Output
ρ	5994	kg/m³
formation energy	128.7	kJ/mol of atoms

a = 4.910 Å, b = 4.910 Å, c = 4.775 Å
α = 90.00°, β = 90.00°, γ = 90.00°
Space group P4/mmm (No. 123)
One atom of each set of equivalent atoms:
1 Sc 0.000 0.000 0.000 [1 per cell]
2 Zn 0.000 0.500 0.500 [2 per cell]
3 Fe 0.500 0.500 0.000 [1 per cell]
4 W 0.000 0.000 0.500 [1 per cell]

***

[18]
The following is a DFT calculation (GGA-PBE) of YSc2Fe9 after structural relaxation.

Output
ρ	6686	kg/m³
formation energy	-15.8	kJ/mol of atoms

a = 4.9718 Å, b = 4.9718 Å, c = 23.7186 Å
α = 90.00°, β = 90.00°, γ = 120.00°
Space group R-3m (No. 166, hexagonal axes)
One atom of each set of equivalent atoms:
1 Y 0.0000 0.0000 0.0000 [3 per cell]
2 Sc 0.0000 0.0000 0.1433 [6 per cell]
3 Fe 0.0000 0.0000 0.3329 [6 per cell]
4 Fe 0.0000 0.0000 0.5000 [3 per cell]
5 Fe 0.0022 0.5011 0.9155 [18 per cell]

***

[19]
The following is a DFT calculation (GGA-PBE) of Y2ScFe after structural relaxation.

Output
ρ	4640	kg/m³
offset from the most stable computed form	319.2	meV/atom
formation energy	36.0	kJ/mol of atoms

a = 8.222 Å, b = 8.222 Å, c = 5.899 Å
α = 90.00°, β = 90.00°, γ = 90.00°
Space group I-42d (No. 122)
One atom of each set of equivalent atoms:
1 Y 0.169 0.250 0.125 [8 per cell]
2 Sc 0.000 0.000 0.500 [4 per cell]
3 Fe 0.000 0.000 0.000 [4 per cell]

***

[20]
The following is a DFT calculation (GGA-PBE) of Y2ScFe after structural relaxation.

Output
ρ	4952	kg/m³
offset from the most stable computed form	306.2	meV/atom
formation energy	34.8	kJ/mol of atoms

a = 7.203 Å, b = 7.203 Å, c = 7.203 Å
α = 90.00°, β = 90.00°, γ = 90.00°
Space group F-43m (No. 216)
One atom of each set of equivalent atoms:
1 Y 0.000 0.000 0.000 [4 per cell]
2 Y 0.250 0.250 0.250 [4 per cell]
3 Sc 0.250 0.250 0.750 [4 per cell]
4 Fe 0.000 0.000 0.500 [4 per cell]

***

no.,spin magnetization (μB/f.u.)
1,2.0
2,3.1
3,1.2
4,2.0
5,0.7
6,0.8
7,0.0
8,0.0
9,0.0
10,1.1
11,1.8
12,1.1
13,1.8
14,0.7
15,0.0
16,6.3
17,3.4
18,15.3
19,0.0
20,0.5